# 1
Computed, not measured: a relaxed structure of Rb3VCu at the PBE-GGA level of DFT.

Output
DOS at the Fermi energy (states/eV/f.u.): 9.12

Unit cell a=6.513 b=6.513 c=6.513 alpha=90.00 beta=90.00 gamma=90.00
Space group Pm-3m (No. 221)
Inequivalent atoms, fractional coordinates:
Rb1 0.000 0.000 0.500 x3
V1 0.500 0.500 0.500 x1
Cu1 0.000 0.000 0.000 x1

# 2
Computed, not measured: a relaxed structure of MgBeAs3 at the PBE-GGA level of DFT.

Output
DOS at the Fermi energy (states/eV/f.u.): 4.50

Unit cell a=4.918 b=4.918 c=4.918 alpha=90.00 beta=90.00 gamma=90.00
Space group Pm-3m (No. 221)
Inequivalent atoms, fractional coordinates:
Mg1 0.000 0.000 0.000 x1
Be1 0.500 0.500 0.500 x1
As1 0.000 0.000 0.500 x3

# 3
Computed, not measured: a relaxed structure of ZrNiSn at the PBE-GGA level of DFT.

Output
DOS at the Fermi energy (states/eV/f.u.): 2.60

Unit cell a=3.258 b=4.122 c=8.428 alpha=90.00 beta=90.57 gamma=90.00
Space group Pm (No. 6)
Inequivalent atoms, fractional coordinates:
Zr1 0.000 0.000 0.000 x1
Zr2 0.018 0.000 0.420 x1
Ni1 0.519 0.500 0.498 x1
Ni2 0.523 0.000 0.687 x1
Sn1 0.029 0.500 0.744 x1
Sn2 0.509 0.500 0.190 x1

# 4
Computed, not measured: a relaxed structure of P2PdRhC at the PBE-GGA level of DFT.

Output
DOS at the Fermi energy (states/eV/f.u.): 2.33

Unit cell a=4.096 b=4.096 c=4.003 alpha=90.00 beta=90.00 gamma=90.00
Space group P4/mmm (No. 123)
Inequivalent atoms, fractional coordinates:
P1 0.000 0.500 0.000 x2
Pd1 0.000 0.000 0.500 x1
Rh1 0.500 0.500 0.500 x1
C1 0.500 0.500 0.000 x1

Quick rundown of magnetic moment, same order as above: 4.91 0.00 0.00 0.00 μB/cell
Quick rundown of energy relative to the elements, same order as above: 482 542 -112 348 kJ/mol of formula units
Quick rundown of E_tot, same order as above: -11.13 -13.65 -38.99 -28.98 eV/cell